The following is a PBE+U calculation of CaWNF2 after structural relaxation, from Alexandria.

```
data_CaWNF2
_chemical_formula_sum 'Ca1 W1 N1 F2'
_cell_length_a 4.237
_cell_length_b 4.237
_cell_length_c 4.297
_cell_angle_alpha 90.00
_cell_angle_beta 90.00
_cell_angle_gamma 90.00
_space_group_name_H-M_alt 'P 4/m m m'
_space_group_IT_number 123
_space_group_name_Hall '-P 4 2'
loop_
_atom_site_label
_atom_site_fract_x
_atom_site_fract_y
_atom_site_fract_z
Ca1 0.000 0.000 0.000
W1 0.500 0.500 0.500
N1 0.500 0.500 0.000
F1 0.000 0.500 0.500
```

total magnetic moment = 2.82 μB per formula unit
VASP energy = -5.670 eV/atom